No. 1
Material: NdSmTmTh2
Method: DFT, PBE
State: relaxed

Energy relative to the elements in eV per atom: 0.388
Final energy in eV/atom: -5.37

The structure in CIF format:
```
data_NdSmTmTh2
_symmetry_space_group_name_H-M 'C m c m'
_symmetry_Int_Tables_number 63
_symmetry_space_group_name_Hall '-C 2c 2'
_cell_length_a 6.6931
_cell_length_b 15.6781
_cell_length_c 6.7038
_cell_angle_alpha 90.00
_cell_angle_beta 90.00
_cell_angle_gamma 90.00
loop_
_atom_site_label
_atom_site_type_symbol
_atom_site_fract_x
_atom_site_fract_y
_atom_site_fract_z
Nd1 Nd 0.0000 0.1525 0.2500
Sm1 Sm 0.0000 0.2556 0.7500
Tm1 Tm 0.0000 0.3495 0.2500
Th1 Th 0.2473 0.5000 0.0000
```


No. 2
Material: NdSm2Tm2Th2
Method: DFT, PBE
State: relaxed

Energy relative to the elements in eV per atom: 0.178
Final energy in eV/atom: -5.25

The structure in CIF format:
```
data_NdSm2Tm2Th2
_symmetry_space_group_name_H-M 'C 1 2/m 1'
_symmetry_Int_Tables_number 12
_symmetry_space_group_name_Hall '-C 2y'
_cell_length_a 11.4496
_cell_length_b 3.4441
_cell_length_c 11.9473
_cell_angle_alpha 90.00
_cell_angle_beta 100.51
_cell_angle_gamma 90.00
loop_
_atom_site_label
_atom_site_type_symbol
_atom_site_fract_x
_atom_site_fract_y
_atom_site_fract_z
Nd1 Nd 0.0000 0.0000 0.0000
Sm1 Sm 0.1500 0.5000 0.5763
Tm1 Tm 0.0930 0.5000 0.2758
Th1 Th 0.2081 0.5000 0.8626
```


No. 3
Material: Nd6Sm3Tm2Th
Method: DFT, PBE
State: relaxed

Energy relative to the elements in eV per atom: 0.031
Final energy in eV/atom: -4.90

The structure in CIF format:
```
data_Nd6Sm3Tm2Th
_symmetry_space_group_name_H-M 'C 1 2/m 1'
_symmetry_Int_Tables_number 12
_symmetry_space_group_name_Hall '-C 2y'
_cell_length_a 6.2845
_cell_length_b 10.8696
_cell_length_c 12.0513
_cell_angle_alpha 90.00
_cell_angle_beta 100.02
_cell_angle_gamma 90.00
loop_
_atom_site_label
_atom_site_type_symbol
_atom_site_fract_x
_atom_site_fract_y
_atom_site_fract_z
Nd1 Nd 0.2471 0.1652 0.2465
Nd2 Nd 0.2482 0.0000 0.7539
Sm1 Sm 0.0000 0.1667 0.5000
Sm2 Sm 0.0000 0.5000 0.5000
Tm1 Tm 0.0000 0.3332 0.0000
Th1 Th 0.0000 0.0000 0.0000
```


No. 4
Material: NdSmTmTh
Method: DFT, PBE
State: relaxed

Energy above the most stable polymorph in this dataset in meV per atom: 137
Energy relative to the elements in eV per atom: 0.155
Final energy in eV/atom: -5.19

The structure in CIF format:
```
data_NdSmTmTh
_symmetry_space_group_name_H-M 'F -4 3 m'
_symmetry_Int_Tables_number 216
_symmetry_space_group_name_Hall 'F -4 2 3'
_cell_length_a 8.0789
_cell_length_b 8.0789
_cell_length_c 8.0789
_cell_angle_alpha 90.00
_cell_angle_beta 90.00
_cell_angle_gamma 90.00
loop_
_atom_site_label
_atom_site_type_symbol
_atom_site_fract_x
_atom_site_fract_y
_atom_site_fract_z
Nd1 Nd 0.0000 0.0000 0.0000
Sm1 Sm 0.2500 0.2500 0.2500
Tm1 Tm 0.2500 0.2500 0.7500
Th1 Th 0.0000 0.0000 0.5000
```


No. 5
Material: NdSmTmTh
Method: DFT, PBE
State: relaxed

Energy above the most stable polymorph in this dataset in meV per atom: 0
Energy relative to the elements in eV per atom: 0.017
Final energy in eV/atom: -5.33

The structure in CIF format:
```
data_NdSmTmTh
_symmetry_space_group_name_H-M 'R 3 m'
_symmetry_Int_Tables_number 160
_symmetry_space_group_name_Hall 'R 3 -2"'
_cell_length_a 3.6070
_cell_length_b 3.6070
_cell_length_c 34.8888
_cell_angle_alpha 90.00
_cell_angle_beta 90.00
_cell_angle_gamma 120.00
loop_
_atom_site_label
_atom_site_type_symbol
_atom_site_fract_x
_atom_site_fract_y
_atom_site_fract_z
Nd1 Nd 0.0000 0.0000 0.0000
Sm1 Sm 0.0000 0.0000 0.2456
Tm1 Tm 0.0000 0.0000 0.4175
Th1 Th 0.0000 0.0000 0.8308
```


No. 6
Material: NdSmTm5Th2
Method: DFT, PBE
State: relaxed

Energy relative to the elements in eV per atom: 0.329
Final energy in eV/atom: -4.86

The structure in CIF format:
```
data_NdSmTm5Th2
_symmetry_space_group_name_H-M 'I 4/m c m'
_symmetry_Int_Tables_number 140
_symmetry_space_group_name_Hall '-I 4 2c'
_cell_length_a 8.8581
_cell_length_b 8.8581
_cell_length_c 15.0509
_cell_angle_alpha 90.00
_cell_angle_beta 90.00
_cell_angle_gamma 90.00
loop_
_atom_site_label
_atom_site_type_symbol
_atom_site_fract_x
_atom_site_fract_y
_atom_site_fract_z
Nd1 Nd 0.0000 0.0000 0.2500
Sm1 Sm 0.0000 0.5000 0.2500
Tm1 Tm 0.0000 0.0000 0.0000
Tm2 Tm 0.2068 0.2932 0.1372
Th1 Th 0.1183 0.3817 0.5000
```


No. 7
Material: Nd2SmTmTh
Method: DFT, PBE
State: relaxed

Energy relative to the elements in eV per atom: 0.314
Final energy in eV/atom: -4.92

The structure in CIF format:
```
data_Nd2SmTmTh
_symmetry_space_group_name_H-M 'P 1 2/c 1'
_symmetry_Int_Tables_number 13
_symmetry_space_group_name_Hall '-P 2yc'
_cell_length_a 8.6646
_cell_length_b 6.3875
_cell_length_c 6.3908
_cell_angle_alpha 90.00
_cell_angle_beta 95.78
_cell_angle_gamma 90.00
loop_
_atom_site_label
_atom_site_type_symbol
_atom_site_fract_x
_atom_site_fract_y
_atom_site_fract_z
Nd1 Nd 0.1864 0.1993 0.2822
Sm1 Sm 0.5000 0.5000 0.0000
Tm1 Tm 0.0000 0.3201 0.7500
Th1 Th 0.5000 0.0473 0.7500
```


No. 8
Material: Nd4Sm2TmTh
Method: DFT, PBE
State: relaxed

Energy relative to the elements in eV per atom: 0.137
Final energy in eV/atom: -4.91

The structure in CIF format:
```
data_Nd4Sm2TmTh
_symmetry_space_group_name_H-M 'P 1 2/m 1'
_symmetry_Int_Tables_number 10
_symmetry_space_group_name_Hall '-P 2y'
_cell_length_a 6.0791
_cell_length_b 6.0848
_cell_length_c 7.3114
_cell_angle_alpha 90.00
_cell_angle_beta 90.10
_cell_angle_gamma 90.00
loop_
_atom_site_label
_atom_site_type_symbol
_atom_site_fract_x
_atom_site_fract_y
_atom_site_fract_z
Nd1 Nd 0.0006 0.0000 0.2461
Nd2 Nd 0.4994 0.5000 0.2467
Sm1 Sm 0.0000 0.5000 0.5000
Sm2 Sm 0.5000 0.0000 0.0000
Tm1 Tm 0.5000 0.0000 0.5000
Th1 Th 0.0000 0.5000 0.0000
```


Number 1: ρ 8.8 g/cm³. Number 2: ρ 8.9 g/cm³. Number 3: ρ 7.7 g/cm³. Number 4: ρ 8.8 g/cm³. Number 5: ρ 8.8 g/cm³. Number 6: ρ 9.0 g/cm³. Number 7: ρ 7.9 g/cm³. Number 8: ρ 7.9 g/cm³.